# 1
Compound: TiH3Pd
Source: Alexandria via LeMat-Bulk
Functional: PBE-GGA
Structure: optimized geometry

Cell lengths 3.483, 3.483, 3.483 Å; angles 90.00, 90.00, 90.00 degrees
Element x y z (fractional)
Ti 0.000 0.000 0.000
H 0.000 0.500 0.500
H 0.500 0.000 0.500
H 0.500 0.500 0.000
Pd 0.500 0.500 0.500

Results
Total DFT energy (no corrections)   -23.51 eV for the cell shown
Space-group type   Pm-3m (221)

---

# 2
Compound: TiH2Pd
Source: Alexandria via LeMat-Bulk
Functional: PBE-GGA
Structure: optimized geometry

Cell lengths 5.255, 5.255, 5.255 Å; angles 32.62, 32.62, 32.62 degrees
Element x y z (fractional)
Ti 0.000 0.000 0.000
H 0.398 0.398 0.398
H 0.614 0.614 0.614
Pd 0.177 0.177 0.177

Results
Total DFT energy (no corrections)   -20.85 eV for the cell shown
Space-group type   R3m (160)

---

# 3
Compound: Ti2HPd9
Source: Alexandria via LeMat-Bulk
Functional: PBE-GGA
Structure: optimized geometry

Cell lengths 3.951, 3.951, 11.264 Å; angles 90.00, 90.00, 90.00 degrees
Element x y z (fractional)
Ti 0.000 0.000 0.180
Ti 0.000 0.000 0.820
H 0.000 0.000 0.500
Pd 0.000 0.500 0.000
Pd 0.000 0.500 0.341
Pd 0.000 0.500 0.659
Pd 0.500 0.000 0.000
Pd 0.500 0.000 0.341
Pd 0.500 0.000 0.659
Pd 0.500 0.500 0.170
Pd 0.500 0.500 0.500
Pd 0.500 0.500 0.830

Results
Total DFT energy (no corrections)   -69.42 eV for the cell shown
Space-group type   P4/mmm (123)

---

# 4
Compound: TiH2Pd
Source: Alexandria via LeMat-Bulk
Functional: PBE-GGA
Structure: optimized geometry

Cell lengths 5.150, 5.150, 5.150 Å; angles 34.24, 34.24, 34.24 degrees
Element x y z (fractional)
Ti 0.000 0.000 0.000
H 0.376 0.376 0.376
H 0.624 0.624 0.624
Pd 0.500 0.500 0.500

Results
Total DFT energy (no corrections)   -21.12 eV for the cell shown
Space-group type   R-3m (166)

---

# 5
Compound: Ti3H12Pd5
Source: Alexandria via LeMat-Bulk
Functional: PBE-GGA
Structure: optimized geometry

Cell lengths 9.531, 9.531, 9.531 Å; angles 109.47, 109.47, 109.47 degrees
Element x y z (fractional)
Ti 0.125 0.250 0.375
Ti 0.125 0.375 0.750
Ti 0.250 0.375 0.125
Ti 0.250 0.875 0.625
Ti 0.375 0.125 0.250
Ti 0.375 0.750 0.125
Ti 0.625 0.250 0.875
Ti 0.625 0.875 0.750
Ti 0.750 0.125 0.375
Ti 0.750 0.625 0.875
Ti 0.875 0.625 0.250
Ti 0.875 0.750 0.625
H 0.058 0.225 0.145
H 0.058 0.333 0.913
H 0.080 0.725 0.667
H 0.080 0.855 0.413
H 0.087 0.645 0.420
H 0.087 0.942 0.667
H 0.145 0.058 0.225
H 0.145 0.587 0.920
H 0.167 0.225 0.580
H 0.167 0.442 0.587
H 0.225 0.145 0.058
H 0.225 0.580 0.167
H 0.275 0.333 0.920
H 0.275 0.442 0.355
H 0.333 0.913 0.058
H 0.333 0.920 0.275
H 0.355 0.275 0.442
H 0.355 0.580 0.913
H 0.413 0.080 0.855
H 0.413 0.833 0.558
H 0.420 0.087 0.645
H 0.420 0.833 0.775
H 0.442 0.355 0.275
H 0.442 0.587 0.167
H 0.558 0.413 0.833
H 0.558 0.645 0.725
H 0.580 0.167 0.225
H 0.580 0.913 0.355
H 0.587 0.167 0.442
H 0.587 0.920 0.145
H 0.645 0.420 0.087
H 0.645 0.725 0.558
H 0.667 0.080 0.725
H 0.667 0.087 0.942
H 0.725 0.558 0.645
H 0.725 0.667 0.080
H 0.775 0.420 0.833
H 0.775 0.855 0.942
H 0.833 0.558 0.413
H 0.833 0.775 0.420
H 0.855 0.413 0.080
H 0.855 0.942 0.775
H 0.913 0.058 0.333
H 0.913 0.355 0.580
H 0.920 0.145 0.587
H 0.920 0.275 0.333
H 0.942 0.667 0.087
H 0.942 0.775 0.855
Pd 0.000 0.000 0.000
Pd 0.000 0.000 0.500
Pd 0.000 0.500 0.000
Pd 0.000 0.500 0.500
Pd 0.125 0.750 0.875
Pd 0.125 0.875 0.250
Pd 0.250 0.125 0.875
Pd 0.250 0.625 0.375
Pd 0.375 0.250 0.625
Pd 0.375 0.625 0.750
Pd 0.500 0.000 0.000
Pd 0.500 0.000 0.500
Pd 0.500 0.500 0.000
Pd 0.500 0.500 0.500
Pd 0.625 0.375 0.250
Pd 0.625 0.750 0.375
Pd 0.750 0.375 0.625
Pd 0.750 0.875 0.125
Pd 0.875 0.125 0.750
Pd 0.875 0.250 0.125

Results
Total DFT energy (no corrections)   -373.49 eV for the cell shown
Space-group type   Ia-3d (230)

---

# 6
Compound: TiH2Pd2
Source: Alexandria via LeMat-Bulk
Functional: PBE-GGA
Structure: optimized geometry

Cell lengths 4.948, 4.948, 4.948 Å; angles 138.54, 138.54, 60.08 degrees
Element x y z (fractional)
Ti 0.000 0.000 0.000
H 0.250 0.750 0.500
H 0.750 0.250 0.500
Pd 0.339 0.339 0.000
Pd 0.661 0.661 0.000

Results
Total DFT energy (no corrections)   -26.34 eV for the cell shown
Space-group type   I4/mmm (139)